(1)
Compound: MnSn
Source: Alexandria via LeMat-Bulk
Functional: PBE
Structure: relaxed

Results
SG   No. 194
Crystal system   hexagonal

Lattice parameters (Å, degrees): 8.228 8.228 4.337 90.00 90.00 120.00
Atoms (fractional coordinates):
Mn 0.113 0.556 0.250
Mn 0.444 0.556 0.250
Mn 0.444 0.887 0.250
Mn 0.556 0.113 0.750
Mn 0.556 0.444 0.750
Mn 0.887 0.444 0.750
Sn 0.203 0.406 0.750
Sn 0.203 0.797 0.750
Sn 0.406 0.203 0.250
Sn 0.594 0.797 0.750
Sn 0.797 0.203 0.250
Sn 0.797 0.594 0.250

(2)
Compound: SrCe2TmAs4
Source: Alexandria via LeMat-Bulk
Functional: PBE
Structure: relaxed

Results
SG   No. 10
Crystal system   monoclinic

Lattice parameters (Å, degrees): 7.294 4.244 7.394 90.00 109.47 90.00
Atoms (fractional coordinates):
Sr 0.000 0.000 0.000
Ce 0.500 0.000 0.500
Ce 0.500 0.500 0.000
Tm 0.000 0.500 0.500
As 0.251 0.000 0.739
As 0.263 0.500 0.268
As 0.737 0.500 0.732
As 0.749 0.000 0.261

(3)
Compound: Li2GeTeO6
Source: Alexandria via LeMat-Bulk
Functional: PBE
Structure: relaxed

Results
E above lowest polymorph   286 meV per atom
Uncorrected formation energy   -1261 kJ/mol of formula units
SG   No. 99
Crystal system   tetragonal

Lattice parameters (Å, degrees): 5.077 5.077 4.839 90.00 90.00 90.00
Atoms (fractional coordinates):
Li 0.000 0.500 0.000
Li 0.500 0.000 0.000
Ge 0.000 0.000 0.599
Te 0.500 0.500 0.621
O 0.000 0.000 0.250
O 0.248 0.248 0.760
O 0.248 0.752 0.760
O 0.500 0.500 0.244
O 0.752 0.248 0.760
O 0.752 0.752 0.760

(4)
Compound: OsPdF3
Source: Alexandria via LeMat-Bulk
Functional: PBE
Structure: relaxed

Results
E above lowest polymorph   0 meV per atom
Uncorrected formation energy   -115 kJ/mol of formula units
SG   No. 221
Crystal system   cubic

Lattice parameters (Å, degrees): 4.162 4.162 4.162 90.00 90.00 90.00
Atoms (fractional coordinates):
Os 0.000 0.000 0.000
Pd 0.500 0.500 0.500
F 0.000 0.000 0.500
F 0.000 0.500 0.000
F 0.500 0.000 0.000

(5)
Compound: La2TlSnBr
Source: Alexandria via LeMat-Bulk
Functional: PBE
Structure: relaxed

Results
Uncorrected formation energy   25 kJ/mol of formula units
SG   No. 123
Crystal system   tetragonal

Lattice parameters (Å, degrees): 6.321 6.321 6.043 90.00 90.00 90.00
Atoms (fractional coordinates):
La 0.000 0.500 0.000
La 0.500 0.000 0.000
Tl 0.000 0.000 0.500
Sn 0.500 0.500 0.000
Br 0.500 0.500 0.500

(6)
Compound: CsVZnCl6
Source: Alexandria via LeMat-Bulk
Functional: PBE
Structure: relaxed

Results
Uncorrected formation energy   -1187 kJ/mol of formula units
SG   No. 149
Crystal system   trigonal

Lattice parameters (Å, degrees): 6.408 6.408 7.841 90.00 90.00 120.00
Atoms (fractional coordinates):
Cs 0.000 0.000 0.000
V 0.333 0.667 0.500
Zn 0.667 0.333 0.500
Cl 0.011 0.381 0.676
Cl 0.011 0.630 0.324
Cl 0.370 0.381 0.324
Cl 0.370 0.989 0.676
Cl 0.619 0.630 0.676
Cl 0.619 0.989 0.324

(7)
Compound: MgScTc2
Source: Alexandria via LeMat-Bulk
Functional: PBE
Structure: relaxed

Results
SG   No. 166
Crystal system   trigonal

Lattice parameters (Å, degrees): 9.134 9.134 9.134 18.56 18.56 18.56
Atoms (fractional coordinates):
Mg 0.000 0.000 0.000
Sc 0.500 0.500 0.500
Tc 0.249 0.249 0.249
Tc 0.751 0.751 0.751

(8)
Compound: CsSnH4
Source: Alexandria via LeMat-Bulk
Functional: PBE
Structure: relaxed

Results
SG   No. 15
Crystal system   monoclinic

Lattice parameters (Å, degrees): 6.309 6.309 6.378 103.37 103.37 103.35
Atoms (fractional coordinates):
Cs 0.139 0.861 0.750
Cs 0.861 0.139 0.250
Sn 0.475 0.525 0.250
Sn 0.525 0.475 0.750
H 0.170 0.477 0.141
H 0.213 0.429 0.679
H 0.429 0.213 0.179
H 0.477 0.170 0.641
H 0.523 0.830 0.359
H 0.571 0.787 0.821
H 0.787 0.571 0.321
H 0.830 0.523 0.859

(9)
Compound: Ba2Zn6PtAu
Source: Alexandria via LeMat-Bulk
Functional: PBE
Structure: relaxed

Results
SG   No. 12
Crystal system   monoclinic

Lattice parameters (Å, degrees): 7.044 7.044 7.037 119.84 119.84 90.15
Atoms (fractional coordinates):
Ba 0.250 0.750 0.000
Ba 0.750 0.250 0.000
Zn 0.247 0.247 0.500
Zn 0.247 0.247 0.994
Zn 0.247 0.753 0.500
Zn 0.753 0.247 0.500
Zn 0.753 0.753 0.006
Zn 0.753 0.753 0.500
Pt 0.000 0.000 0.500
Au 0.500 0.500 0.500

(10)
Compound: NaSr2LiF6
Source: Alexandria via LeMat-Bulk
Functional: PBE
Structure: relaxed

Results
Uncorrected formation energy   -3327 kJ/mol of formula units
SG   No. 14
Crystal system   monoclinic

Lattice parameters (Å, degrees): 5.610 6.213 9.735 90.00 125.02 90.00
Atoms (fractional coordinates):
Na 0.000 0.000 0.000
Na 0.000 0.500 0.500
Sr 0.228 0.087 0.748
Sr 0.228 0.413 0.248
Sr 0.772 0.587 0.752
Sr 0.772 0.913 0.252
Li 0.500 0.000 0.500
Li 0.500 0.500 0.000
F 0.140 0.179 0.447
F 0.140 0.321 0.947
F 0.266 0.695 0.439
F 0.266 0.805 0.939
F 0.376 0.040 0.264
F 0.376 0.460 0.764
F 0.624 0.540 0.236
F 0.624 0.960 0.736
F 0.734 0.195 0.061
F 0.734 0.305 0.561
F 0.860 0.679 0.053
F 0.860 0.821 0.553

(11)
Compound: Hf3Ga4Tc
Source: Alexandria via LeMat-Bulk
Functional: PBE
Structure: relaxed

Results
SG   No. 71
Crystal system   orthorhombic

Lattice parameters (Å, degrees): 9.739 9.739 9.739 162.77 147.82 36.73
Atoms (fractional coordinates):
Hf 0.000 0.000 0.000
Hf 0.257 0.757 0.500
Hf 0.743 0.243 0.500
Ga 0.129 0.379 0.750
Ga 0.372 0.621 0.750
Ga 0.628 0.379 0.250
Ga 0.871 0.621 0.250
Tc 0.500 0.500 0.000

(12)
Compound: KInHg2P
Source: Alexandria via LeMat-Bulk
Functional: PBE
Structure: relaxed

Results
SG   No. 123
Crystal system   tetragonal

Lattice parameters (Å, degrees): 6.103 6.103 5.854 90.00 90.00 90.00
Atoms (fractional coordinates):
K 0.000 0.000 0.000
In 0.500 0.500 0.500
Hg 0.000 0.500 0.000
Hg 0.500 0.000 0.000
P 0.000 0.000 0.500

These records have DFT total energy values of -6.375 -5.930 -5.440 -4.646 -3.527 -3.847 -6.899 -2.855 -2.416 -5.231 -6.715 -1.305 eV per atom, in the order they appear.
These records have DOS at the Fermi energy values of 12.8 7.9 3.0 8.8 5.5 9.2 5.8 1.7 5.9 0.0 5.8 4.2 states/eV per cell, in the order they appear.